An optimized crystal structure of YN, computed with GGA-PBE.

Unit cell a=6.484 b=6.484 c=6.484 alpha=90.00 beta=90.00 gamma=90.00
Fractional coordinates of all 12 atoms:
Y (0.000, 0.250, 0.500)
Y (0.000, 0.750, 0.500)
Y (0.250, 0.500, 0.000)
Y (0.500, 0.000, 0.250)
Y (0.500, 0.000, 0.750)
Y (0.750, 0.500, 0.000)
N (0.000, 0.500, 0.250)
N (0.000, 0.500, 0.750)
N (0.250, 0.000, 0.500)
N (0.500, 0.250, 0.000)
N (0.500, 0.750, 0.000)
N (0.750, 0.000, 0.500)

uncorrected formation energy	-1382	meV per atom
calculated total energy	-8.78	eV per atom
space group	Pm-3n

An optimized crystal structure of Ac2DyUSe6, computed with GGA-PBE.

Unit cell a=7.601 b=7.605 c=7.906 alpha=90.14 beta=118.66 gamma=119.82
Fractional coordinates of all 10 atoms:
Ac (0.000, 0.000, 0.000)
Ac (0.001, 0.499, 0.499)
Dy (0.417, 0.705, 0.121)
U (0.415, 0.204, 0.620)
Se (0.267, 0.835, 0.337)
Se (0.267, 0.925, 0.842)
Se (0.501, 0.428, 0.336)
Se (0.501, 0.575, 0.838)
Se (0.908, 0.069, 0.337)
Se (0.918, 0.342, 0.840)

uncorrected formation energy	-1684	meV per atom
N(E_F)	6.79	states/eV/cell
calculated total energy	-6.19	eV per atom
space group	P1

An optimized crystal structure of La3Dy2YEr6, computed with GGA-PBE.

Unit cell a=6.208 b=6.208 c=11.793 alpha=95.02 beta=95.02 gamma=120.00
Fractional coordinates of all 12 atoms:
La (0.000, 0.000, 0.000)
La (0.333, 0.667, 0.000)
La (0.667, 0.333, 0.000)
Dy (0.167, 0.833, 0.500)
Dy (0.833, 0.167, 0.500)
Y (0.500, 0.500, 0.500)
Er (0.084, 0.419, 0.255)
Er (0.247, 0.247, 0.745)
Er (0.419, 0.084, 0.255)
Er (0.581, 0.916, 0.745)
Er (0.753, 0.753, 0.255)
Er (0.916, 0.581, 0.745)

N(E_F)	16.33	states/eV/cell
calculated total energy	-4.79	eV per atom
space group	C2/m